(1)
# RbBaSrTi2 PBE relaxed
data_RbBaSrTi2
_symmetry_space_group_name_H-M 'P 4/m m m'
_symmetry_Int_Tables_number 123
_symmetry_space_group_name_Hall '-P 4 2'
_cell_length_a 5.462
_cell_length_b 5.462
_cell_length_c 6.041
_cell_angle_alpha 90.00
_cell_angle_beta 90.00
_cell_angle_gamma 90.00
loop_
_atom_site_label
_atom_site_type_symbol
_atom_site_fract_x
_atom_site_fract_y
_atom_site_fract_z
Rb1 Rb 0.000 0.000 0.000
Ba1 Ba 0.500 0.500 0.500
Sr1 Sr 0.000 0.000 0.500
Ti1 Ti 0.000 0.500 0.000
# - density of states at the Fermi level (states/eV/cell) = 8.8
# - ΔH_f (0 K) (eV per atom) = 1.563
# - calculated total energy (eV per atom) = -2.509



(2)
# RbBa2SrTl PBE relaxed
data_RbBa2SrTl
_symmetry_space_group_name_H-M 'P 4/m m m'
_symmetry_Int_Tables_number 123
_symmetry_space_group_name_Hall '-P 4 2'
_cell_length_a 7.253
_cell_length_b 7.253
_cell_length_c 7.244
_cell_angle_alpha 90.00
_cell_angle_beta 90.00
_cell_angle_gamma 90.00
loop_
_atom_site_label
_atom_site_type_symbol
_atom_site_fract_x
_atom_site_fract_y
_atom_site_fract_z
Rb1 Rb 0.000 0.000 0.000
Ba1 Ba 0.000 0.500 0.500
Sr1 Sr 0.000 0.000 0.500
Tl1 Tl 0.500 0.500 0.000
# - density of states at the Fermi level (states/eV/cell) = 10.4
# - ΔH_f (0 K) (eV per atom) = 0.671
# - energy above the lowest structure with this stoichiometry (meV/atom) = 728.6
# - calculated total energy (eV per atom) = -1.101



| no. | V (A^3/atom) |
| --- | --- |
| 1 | 36.05 |
| 2 | 76.21 |